(1)
DFT (PBE-GGA) results for crystalline AcZn2Ir3 at its relaxed geometry.

Structure (extended XYZ):
```
6
Lattice="4.0717 0.0000 0.0000 0.0000 4.8363 -2.7844 0.0000 -0.0062 5.5806" Properties=species:S:1:pos:R:3 pbc="T T T"
Ac 0.0000 0.0060 -0.0034
Zn 0.0000 1.6137 2.7885
Ir 2.0359 0.0029 2.7867
Zn 0.0000 3.2284 0.0008
Ir 2.0359 2.4243 -1.3958
Ir 2.0359 2.4211 1.3947
```

ΔE_f: -0.429 eV per atom
symmetry: No. 191

***

(2)
DFT (PBE-GGA) results for crystalline PrYErTl at its relaxed geometry.

Structure (extended XYZ):
```
4
Lattice="-2.1736 3.4608 3.7381 -3.4053 -1.9361 3.9154 1.6790 -0.2100 5.2737" Properties=species:S:1:pos:R:3 pbc="T T T"
Pr -0.9750 0.3287 3.2318
Er -1.9500 0.6574 6.4636
Y -2.9249 0.9860 9.6954
Tl 0.0000 0.0000 0.0000
```

ΔE_f: -0.063 eV per atom
polymorph energy (0 for the lowest one): 0.121 eV/atom
symmetry: No. 216